(1)
# RbBa2MnAl | the Alexandria database | PBE-GGA | relaxed
data_RbBa2MnAl
_cell_length_a 5.8571
_cell_length_b 5.0535
_cell_length_c 5.8571
_cell_angle_alpha 90.00
_cell_angle_beta 90.00
_cell_angle_gamma 90.00
_symmetry_space_group_name_H-M 'P 1'
_symmetry_Int_Tables_number 1
_symmetry_space_group_name_Hall 'P 1'
loop_
_atom_site_label
_atom_site_type_symbol
_atom_site_fract_x
_atom_site_fract_y
_atom_site_fract_z
Ba1 Ba 0.0000 0.0000 0.5000
Ba2 Ba 0.5000 0.0000 0.0000
Mn1 Mn 0.0000 0.0000 0.0000
Rb1 Rb 0.5000 0.5000 0.5000
Al1 Al 0.0000 0.5000 0.0000
# Total energy: -3.113 eV/atom
# SG: No. 123
# Formation energy from the elements: 0.432 eV/atom
# Size of the total moment: 1.78 μB/cell

(2)
# Dy5Hg2Os | the Alexandria database | PBE-GGA | relaxed
data_Dy5Hg2Os
_cell_length_a 4.9129
_cell_length_b 7.0144
_cell_length_c 12.1453
_cell_angle_alpha 90.00
_cell_angle_beta 90.00
_cell_angle_gamma 90.00
_symmetry_space_group_name_H-M 'P 1'
_symmetry_Int_Tables_number 1
_symmetry_space_group_name_Hall 'P 1'
loop_
_atom_site_label
_atom_site_type_symbol
_atom_site_fract_x
_atom_site_fract_y
_atom_site_fract_z
Dy1 Dy 0.0000 0.8615 0.2079
Dy2 Dy 0.0000 0.0000 0.5000
Dy3 Dy 0.0000 0.5000 0.0000
Dy4 Dy 0.0000 0.3615 0.2921
Hg1 Hg 0.5000 0.5890 0.1597
Dy5 Dy 0.0000 0.1385 0.7921
Dy6 Dy 0.5000 0.3272 0.5861
Hg2 Hg 0.5000 0.4110 0.8403
Dy7 Dy 0.5000 0.1728 0.0861
Dy8 Dy 0.5000 0.6728 0.4139
Os1 Os 0.0000 0.5000 0.5000
Dy9 Dy 0.5000 0.8272 0.9139
Hg3 Hg 0.5000 0.9110 0.6597
Os2 Os 0.0000 0.0000 0.0000
Hg4 Hg 0.5000 0.0890 0.3403
Dy10 Dy 0.0000 0.6385 0.7079
# Total energy: -4.717 eV/atom
# SG: No. 55
# Formation energy from the elements: -0.362 eV/atom
# Size of the total moment: 0.00 μB/cell

(3)
# ErTl3Ge2Te6 | the Alexandria database | PBE-GGA | relaxed
data_ErTl3Ge2Te6
_cell_length_a 7.6388
_cell_length_b 7.6388
_cell_length_c 8.0148
_cell_angle_alpha 99.12
_cell_angle_beta 99.12
_cell_angle_gamma 119.79
_symmetry_space_group_name_H-M 'P 1'
_symmetry_Int_Tables_number 1
_symmetry_space_group_name_Hall 'P 1'
loop_
_atom_site_label
_atom_site_type_symbol
_atom_site_fract_x
_atom_site_fract_y
_atom_site_fract_z
Er1 Er 0.0000 0.0000 0.0000
Ge1 Ge 0.6670 0.3330 0.0000
Te1 Te 0.0701 0.4087 0.2122
Tl1 Tl 0.8361 0.1639 0.5000
Te2 Te 0.2671 0.2671 0.7874
Te3 Te 0.9299 0.5913 0.7878
Tl2 Tl 0.1639 0.8361 0.5000
Te4 Te 0.7329 0.7329 0.2126
Ge2 Ge 0.3330 0.6670 0.0000
Te5 Te 0.4087 0.0701 0.2122
Tl3 Tl 0.5000 0.5000 0.5000
Te6 Te 0.5913 0.9299 0.7878
# Formation energy from raw total energies: -0.400 eV/atom
# Total energy: -3.712 eV/atom
# SG: No. 12
# Size of the total moment: 0.00 μB/cell

(4)
# YBe2Br | the Alexandria database | PBE-GGA | relaxed
data_YBe2Br
_cell_length_a 5.7308
_cell_length_b 5.7308
_cell_length_c 5.7308
_cell_angle_alpha 140.44
_cell_angle_beta 140.44
_cell_angle_gamma 57.19
_symmetry_space_group_name_H-M 'P 1'
_symmetry_Int_Tables_number 1
_symmetry_space_group_name_Hall 'P 1'
loop_
_atom_site_label
_atom_site_type_symbol
_atom_site_fract_x
_atom_site_fract_y
_atom_site_fract_z
Be1 Be 0.0000 0.0000 0.0000
Br1 Br 0.7500 0.2500 0.5000
Be2 Be 0.5000 0.5000 0.0000
Y1 Y 0.2500 0.7500 0.5000
# Formation energy from raw total energies: 0.319 eV/atom
# Total energy: -3.578 eV/atom
# SG: No. 139
# Energy above the lowest structure with this stoichiometry: 2.020 eV/f.u.
# Size of the total moment: 0.00 μB/cell

(5)
# Tm12Fe6Sb | the Alexandria database | PBE-GGA | relaxed
data_Tm12Fe6Sb
_cell_length_a 8.2812
_cell_length_b 8.2812
_cell_length_c 8.2812
_cell_angle_alpha 109.47
_cell_angle_beta 109.47
_cell_angle_gamma 109.47
_symmetry_space_group_name_H-M 'P 1'
_symmetry_Int_Tables_number 1
_symmetry_space_group_name_Hall 'P 1'
loop_
_atom_site_label
_atom_site_type_symbol
_atom_site_fract_x
_atom_site_fract_y
_atom_site_fract_z
Fe1 Fe 0.1104 0.6104 0.5000
Tm1 Tm 0.1968 0.2996 0.4964
Tm2 Tm 0.2996 0.1028 0.8032
Fe2 Fe 0.5000 0.1104 0.6104
Fe3 Fe 0.6104 0.5000 0.1104
Tm3 Tm 0.8032 0.2996 0.1028
Fe4 Fe 0.8896 0.3896 0.5000
Tm4 Tm 0.2996 0.4964 0.1968
Fe5 Fe 0.5000 0.8896 0.3896
Tm5 Tm 0.5036 0.8032 0.7004
Tm6 Tm 0.7004 0.8972 0.1968
Tm7 Tm 0.1028 0.8032 0.2996
Tm8 Tm 0.1968 0.7004 0.8972
Tm9 Tm 0.8032 0.7004 0.5036
Fe6 Fe 0.3896 0.5000 0.8896
Tm10 Tm 0.7004 0.5036 0.8032
Tm11 Tm 0.8972 0.1968 0.7004
Tm12 Tm 0.4964 0.1968 0.2996
Sb1 Sb 0.0000 0.0000 0.0000
# Formation energy from raw total energies: -0.171 eV/atom
# Total energy: -5.884 eV/atom
# SG: No. 204
# Size of the total moment: 5.50 μB/cell

(6)
# NaGeAsO5 | the Alexandria database | PBE-GGA | relaxed
data_NaGeAsO5
_cell_length_a 5.5459
_cell_length_b 5.5459
_cell_length_c 6.8692
_cell_angle_alpha 104.04
_cell_angle_beta 104.04
_cell_angle_gamma 105.53
_symmetry_space_group_name_H-M 'P 1'
_symmetry_Int_Tables_number 1
_symmetry_space_group_name_Hall 'P 1'
loop_
_atom_site_label
_atom_site_type_symbol
_atom_site_fract_x
_atom_site_fract_y
_atom_site_fract_z
O1 O 0.9036 0.3119 0.1083
Ge1 Ge 0.0000 0.0000 0.0000
Na1 Na 0.6713 0.3287 0.7500
O2 O 0.9310 0.0690 0.7500
O3 O 0.6247 0.7573 0.9266
O4 O 0.7573 0.6247 0.4266
O5 O 0.2427 0.3753 0.5734
O6 O 0.3119 0.9036 0.6083
O7 O 0.3753 0.2427 0.0734
As1 As 0.6853 0.3147 0.2500
Na2 Na 0.3287 0.6713 0.2500
O8 O 0.6881 0.0964 0.3917
O9 O 0.0690 0.9310 0.2500
O10 O 0.0964 0.6881 0.8917
As2 As 0.3147 0.6853 0.7500
Ge2 Ge 0.0000 0.0000 0.5000
# Formation energy from raw total energies: -1.519 eV/atom
# Total energy: -5.941 eV/atom
# SG: No. 15
# Size of the total moment: 0.00 μB/cell